No. 1
Density functional theory data (PBE with a Hubbard U) for a relaxed CoCu2F crystal.

Lattice parameters (Å, degrees): 5.7981 5.7981 5.7981 90.00 90.00 90.00
Last column: nearest neighbours and their distance in Å.
Space group Fm-3m (No. 225)
Asymmetric unit:
1 Co 0.0000 0.0000 0.0000 x4  8 Cu 2.51
2 Cu 0.2500 0.2500 0.2500 x8  4 F 2.51, 4 Co 2.51
3 F 0.0000 0.0000 0.5000 x4  8 Cu 2.51

Summary:
total moment: 2.01 μB per formula unit
ρ: 6.99 g/cm3
energy relative to the lowest polymorph listed for this composition: 0 meV/atom

No. 2
Density functional theory data (PBE with a Hubbard U) for a relaxed CoCuF3 crystal.

Lattice parameters (Å, degrees): 3.9859 3.9859 3.9859 90.00 90.00 90.00
Last column: nearest neighbours and their distance in Å.
Space group Pm-3m (No. 221)
Asymmetric unit:
1 Co 0.0000 0.0000 0.0000 x1  6 F 1.99
2 Cu 0.5000 0.5000 0.5000 x1  12 F 2.82
3 F 0.0000 0.0000 0.5000 x3  2 Co 1.99

Summary:
total moment: 3.02 μB per formula unit
ρ: 4.71 g/cm3
energy relative to the lowest polymorph listed for this composition: 0 meV/atom

No. 3
Density functional theory data (PBE with a Hubbard U) for a relaxed CoCu3F7 crystal.

Lattice parameters (Å, degrees): 8.7114 8.7114 7.2909 90.00 90.00 120.00
Last column: nearest neighbours and their distance in Å.
Space group R3m (No. 160, hexagonal axes)
Asymmetric unit:
1 Co 0.0000 0.0000 0.0000 x3  4 F 1.89-2.04
2 Cu 0.2067 0.4133 0.2463 x9  5 F 1.95-2.17
3 F 0.0000 0.0000 0.7202 x3  1 Co 2.04, 3 Cu 2.17
4 F 0.0852 0.5426 0.1220 x9  3 Cu 1.97-2.10
5 F 0.0861 0.5431 0.7078 x9  1 Co 1.89, 1 Cu 1.95

Summary:
total moment: 5.00 μB per formula unit
ρ: 3.98 g/cm3
energy: -4.30 eV/atom

No. 4
Density functional theory data (PBE with a Hubbard U) for a relaxed CoCuF3 crystal.

Lattice parameters (Å, degrees): 4.0123 4.0123 4.0123 90.00 90.00 90.00
Last column: nearest neighbours and their distance in Å.
Space group Pm-3m (No. 221)
Asymmetric unit:
1 Co 0.0000 0.0000 0.0000 x1  12 F 2.84
2 Cu 0.5000 0.5000 0.5000 x1  6 F 2.01
3 F 0.0000 0.5000 0.5000 x3  2 Cu 2.01

Summary:
total moment: 3.32 μB per formula unit
ρ: 4.61 g/cm3
energy relative to the lowest polymorph listed for this composition: 223 meV/atom

No. 5
Density functional theory data (PBE with a Hubbard U) for a relaxed Co2Cu2F7 crystal.

Lattice parameters (Å, degrees): 10.0317 10.0317 10.0317 90.00 90.00 90.00
Last column: nearest neighbours and their distance in Å.
Space group Fd-3m (No. 227, origin choice 2)
Asymmetric unit:
1 Co 0.0000 0.0000 0.0000 x16  8 F 2.17-2.22
2 Cu 0.0000 0.0000 0.5000 x16  6 F 2.13
3 F 0.1169 0.3750 0.8750 x48  2 Cu 2.13, 2 Co 2.22
4 F 0.1250 0.1250 0.1250 x8  4 Co 2.17

Summary:
total moment: 7.00 μB per formula unit
ρ: 4.97 g/cm3
energy: -4.53 eV/atom

No. 6
Density functional theory data (PBE with a Hubbard U) for a relaxed Co2CuF crystal.

Lattice parameters (Å, degrees): 5.8358 5.8358 5.8358 90.00 90.00 90.00
Last column: nearest neighbours and their distance in Å.
Space group Fm-3m (No. 225)
Asymmetric unit:
1 Co 0.2500 0.2500 0.2500 x8  4 F 2.53, 4 Cu 2.53
2 Cu 0.0000 0.0000 0.0000 x4  8 Co 2.53
3 F 0.0000 0.0000 0.5000 x4  8 Co 2.53

Summary:
total moment: 4.40 μB per formula unit
ρ: 6.70 g/cm3
energy relative to the lowest polymorph listed for this composition: 255 meV/atom

No. 7
Density functional theory data (PBE with a Hubbard U) for a relaxed CoCuF4 crystal.

Lattice parameters (Å, degrees): 5.4624 5.4624 5.9126 90.00 90.00 90.00
Last column: nearest neighbours and their distance in Å.
Space group P-42c (No. 112)
Asymmetric unit:
1 Co 0.0000 0.0000 0.0000 x2  4 F 1.99
2 Cu 0.0000 0.5000 0.2500 x2  4 F 1.93
3 F 0.2126 0.2319 0.3294 x8  1 Cu 1.93, 1 Co 1.99

Summary:
total moment: 4.05 μB per formula unit
ρ: 3.74 g/cm3
energy relative to the lowest polymorph listed for this composition: 106 meV/atom

No. 8
Density functional theory data (PBE with a Hubbard U) for a relaxed CoCu6F12 crystal.

Lattice parameters (Å, degrees): 6.1375 6.2337 6.3623 99.67 101.52 97.54
Last column: nearest neighbours and their distance in Å.
Space group P-1 (No. 2)
Asymmetric unit:
1 Co 0.0000 0.0000 0.0000 x1  6 F 2.00-2.09
2 Cu 0.1541 0.5686 0.3295 x2  4 F 1.97-2.05
3 Cu 0.2541 0.0733 0.6004 x2  4 F 1.92-2.03
4 Cu 0.3862 0.6747 0.8895 x2  5 F 2.00-2.19
5 F 0.0530 0.6858 0.8845 x2  2 Cu 2.01-2.05, 1 Co 2.06
6 F 0.1289 0.3460 0.5849 x2  2 Cu 1.96-2.03
7 F 0.1858 0.9728 0.2880 x2  1 Cu 1.92, 1 Co 2.00
8 F 0.3013 0.1116 0.9173 x2  1 Cu 1.95, 1 Co 2.09
9 F 0.3548 0.7759 0.6043 x2  3 Cu 2.00-2.05
10 F 0.3978 0.5559 0.1692 x2  3 Cu 1.97-2.12

Summary:
total moment: 7.00 μB per formula unit
ρ: 4.79 g/cm3
energy: -4.26 eV/atom

No. 9
Density functional theory data (PBE with a Hubbard U) for a relaxed Co2CuF crystal.

Lattice parameters (Å, degrees): 6.2208 6.2208 5.3707 90.00 90.00 90.00
Last column: nearest neighbours and their distance in Å.
Space group I-42d (No. 122)
Asymmetric unit:
1 Co 0.2111 0.2500 0.1250 x8  2 F 2.14
2 Cu 0.0000 0.0000 0.5000 x4  4 Co 2.47, 2 F 2.69
3 F 0.0000 0.0000 0.0000 x4  4 Co 2.14

Summary:
total moment: 4.32 μB per formula unit
ρ: 6.40 g/cm3
energy relative to the lowest polymorph listed for this composition: 0 meV/atom

No. 10
Density functional theory data (PBE with a Hubbard U) for a relaxed CoCu2F crystal.

Lattice parameters (Å, degrees): 6.5023 6.5023 4.7774 90.00 90.00 90.00
Last column: nearest neighbours and their distance in Å.
Space group I-42d (No. 122)
Asymmetric unit:
1 Co 0.0000 0.0000 0.0000 x4  2 F 2.39, 4 Cu 2.61
2 Cu 0.2006 0.2500 0.6250 x8  2 F 2.17
3 F 0.0000 0.0000 0.5000 x4  4 Cu 2.17, 2 Co 2.39

Summary:
total moment: 1.89 μB per formula unit
ρ: 6.74 g/cm3
energy relative to the lowest polymorph listed for this composition: 4 meV/atom

No. 11
Density functional theory data (PBE with a Hubbard U) for a relaxed CoCuF4 crystal.

Lattice parameters (Å, degrees): 5.1205 5.1205 10.0813 90.00 90.00 90.00
Last column: nearest neighbours and their distance in Å.
Space group I4/mcm (No. 140)
Asymmetric unit:
1 Co 0.0000 0.0000 0.2500 x4  8 F 2.20
2 Cu 0.0000 0.5000 0.0000 x4  4 F 1.94
3 F 0.1951 0.3049 0.1319 x16  1 Cu 1.94

Summary:
total moment: 4.01 μB per formula unit
ρ: 4.99 g/cm3
energy relative to the lowest polymorph listed for this composition: 0 meV/atom

No. 12
Density functional theory data (PBE with a Hubbard U) for a relaxed CoCuHgF6 crystal.

Lattice parameters (Å, degrees): 5.3853 5.3853 9.8438 90.00 90.00 120.00
Last column: nearest neighbours and their distance in Å.
Space group P-31c (No. 163)
Asymmetric unit:
1 Co 0.3333 0.6667 0.2500 x2  6 F 2.05
2 Cu 0.3333 0.6667 0.7500 x2  6 F 2.05
3 Hg 0.0000 0.0000 0.0000 x2  6 F 2.36
4 F 0.0008 0.3566 0.6395 x12  1 Cu 2.05, 1 Co 2.05

Summary:
total moment: 4.00 μB per formula unit
ρ: 5.87 g/cm3
energy: -3.97 eV/atom